Entry 1:
PBE AcTm7, relaxed; energy relative to the elements = 26 meV/atom; crystal system = orthorhombic
1.0
3.3859 0.0016 1.0790
1.2001 8.3874 2.0703
-0.9005 -0.1583 8.6741
Ac Tm
1 7
direct
0.0000 0.0000 0.0000
0.7473 0.7525 0.7525
0.2527 0.2475 0.2475
0.0000 0.5000 0.5000
0.6352 0.5909 0.1389
0.3648 0.4091 0.8611
0.3648 0.8611 0.4091
0.6352 0.1389 0.5909



Entry 2:
PBE SbSe, relaxed; energy relative to the elements, uncorrected = 0.2322 eV/atom; crystal system = cubic
1.0
-3.4165 -2.7558 -1.7198
-0.2399 -4.5318 1.2767
-3.4811 -1.4743 2.8166
Sb Se
1 1
direct
0.0000 0.0000 0.0000
0.2500 0.2500 0.2500



Entry 3:
PBE ScBe6, relaxed; energy relative to the elements = 965 meV/atom; crystal system = cubic; excess energy over the best structure of this formula in the dataset = 7.71 eV/f.u.
1.0
4.7015 0.0000 0.0000
0.0000 4.7015 0.0000
0.0000 0.0000 4.7015
Sc Be
1 6
direct
0.0000 0.0000 0.0000
0.1957 0.5000 0.5000
0.5000 0.5000 0.8043
0.5000 0.5000 0.1957
0.5000 0.1957 0.5000
0.5000 0.8043 0.5000
0.8043 0.5000 0.5000



Entry 4:
PBE HfTl2HgCl6, relaxed; energy relative to the elements, uncorrected = -1.3579 eV/atom; crystal system = trigonal
1.0
8.4436 0.5458 0.3931
4.4010 7.2266 0.3931
4.4010 2.6631 6.7295
Hf Tl Hg Cl
1 2 1 6
direct
0.0148 0.0148 0.0148
0.2029 0.2029 0.2029
0.6734 0.6734 0.6734
0.5087 0.5087 0.5087
0.3548 0.0469 0.8484
0.0469 0.8484 0.3548
0.9768 0.1952 0.6786
0.6786 0.9768 0.1952
0.8484 0.3548 0.0469
0.1952 0.6786 0.9768



Entry 5:
PBE Pm5Bi5Te, relaxed; energy relative to the elements, uncorrected = -0.8035 eV/atom; crystal system = monoclinic
1.0
-0.6001 -0.1993 6.3322
-6.4493 -2.2144 -3.8785
5.5811 -7.1848 0.3028
Pm Bi Te
5 5 1
direct
0.8290 0.6580 0.1647
0.8318 0.6637 0.6664
0.5000 0.0000 0.0000
0.1682 0.3363 0.3336
0.1710 0.3420 0.8353
0.6597 0.3194 0.3386
0.6569 0.3137 0.8165
0.0000 0.0000 0.5000
0.3431 0.6863 0.1835
0.3403 0.6806 0.6614
0.0000 0.0000 0.0000



Entry 6:
PBE FeOsSCl2, relaxed; energy relative to the elements, uncorrected = 1.1273 eV/atom; crystal system = tetragonal; excess energy over the best structure of this formula in the dataset = 2.07 eV/f.u.
1.0
4.5475 0.0000 0.0000
0.0000 4.5475 0.0000
0.0000 0.0000 4.4374
S Os Fe Cl
1 1 1 2
direct
0.0000 0.0000 0.5000
0.5000 0.5000 0.5000
0.0000 0.0000 0.0000
0.0000 0.5000 0.0000
0.5000 0.0000 0.0000



Entry 7:
PBE PmHoBeGa, relaxed; energy relative to the elements = -206 meV/atom; crystal system = cubic
1.0
-3.9099 -0.6512 3.0589
0.2777 -3.3076 3.7484
0.2348 1.6002 4.7384
Be Ho Ga Pm
1 1 1 1
direct
0.7500 0.7500 0.7500
0.0000 0.0000 0.0000
0.2500 0.2500 0.2500
0.5000 0.5000 0.5000



Entry 8:
PBE Ce2InTc, relaxed; energy relative to the elements = -208 meV/atom; crystal system = monoclinic; excess energy over the best structure of this formula in the dataset = 0.03 eV/f.u.
1.0
7.2389 0.0000 -0.0271
0.0000 6.3463 0.0000
-0.0120 0.0000 8.9260
Ce In Tc
8 4 4
direct
0.3191 0.3436 0.1785
0.8191 0.1564 0.1785
0.1902 0.8815 0.4180
0.1809 0.8436 0.8215
0.8098 0.1185 0.5820
0.3098 0.3815 0.5820
0.6809 0.6564 0.8215
0.6902 0.6185 0.4180
0.9645 0.6699 0.1253
0.5355 0.1699 0.8747
0.4645 0.8301 0.1253
0.0355 0.3301 0.8747
0.4242 0.8779 0.6283
0.9242 0.6221 0.6283
0.5758 0.1221 0.3717
0.0758 0.3779 0.3717



Entry 9:
PBE Te2HPb, relaxed; crystal system = tetragonal; excess energy over the best structure of this formula in the dataset = 0.83 eV/f.u.
1.0
6.2308 0.0000 0.0000
0.0000 6.2308 0.0000
3.1154 3.1154 5.9421
Pb H Te
2 2 4
direct
0.0000 0.0000 0.0000
0.7500 0.2500 0.5000
0.5000 0.5000 0.0000
0.2500 0.7500 0.5000
0.5211 0.1250 0.2500
0.2289 0.6250 0.2500
0.3750 0.4789 0.7500
0.8750 0.7711 0.7500



Entry 10:
PBE ZrFe2Se, relaxed; energy relative to the elements, uncorrected = 0.0600 eV/atom; crystal system = cubic
1.0
-3.5734 2.0497 1.7135
-1.2313 -0.8110 4.2110
0.5160 3.1468 3.1205
Fe Se Zr
2 1 1
direct
0.0000 0.0000 0.0000
0.2500 0.2500 0.2500
0.5000 0.5000 0.5000
0.7500 0.7500 0.7500



Entry 11:
PBE Ac3Ho3ErTe8, relaxed; energy relative to the elements, uncorrected = -1.4081 eV/atom; crystal system = trigonal
1.0
8.8986 0.0000 0.0000
-4.4494 7.7067 -0.0279
0.0000 -5.1107 7.5731
Ac Ho Er Te
3 3 1 8
direct
0.0000 0.0000 0.0000
0.0000 0.5000 0.0000
0.5000 0.5000 0.0000
0.5000 0.0000 0.5000
0.5000 0.5000 0.5000
0.0000 0.5000 0.5000
0.0000 0.0000 0.5000
0.2592 0.5183 0.2775
0.7408 0.4817 0.7225
0.7537 0.5075 0.2718
0.2463 0.4925 0.7282
0.7537 0.0181 0.2718
0.2463 0.9819 0.7282
0.2643 0.0181 0.2718
0.7357 0.9819 0.7282



Entry 12:
PBE TiTl3P, relaxed; energy relative to the elements = 935 meV/atom; crystal system = cubic; excess energy over the best structure of this formula in the dataset = 0.29 eV/f.u.
1.0
5.2827 0.0000 0.0000
0.0000 5.2827 0.0000
0.0000 0.0000 5.2827
P Tl Ti
1 3 1
direct
0.0000 0.0000 0.0000
0.0000 0.5000 0.0000
0.0000 0.0000 0.5000
0.5000 0.0000 0.0000
0.5000 0.5000 0.5000



| no. | M_tot (μB per formula unit) |
| --- | --- |
| 1 | 0.00 |
| 2 | 0.00 |
| 3 | 0.00 |
| 4 | 0.00 |
| 5 | 0.00 |
| 6 | 4.04 |
| 7 | 0.00 |
| 8 | 0.16 |
| 9 | 0.00 |
| 10 | 4.13 |
| 11 | 0.00 |
| 12 | 0.00 |